(1)
Here is a relaxed structure of Tb2ErTm5Sc from Alexandria. Energies are from GGA-PBE.

Lattice parameters (Å, degrees): 5.4684 10.2193 10.2442 90.00 90.00 105.52
Closest atoms and distances in Å follow each position.
Fractional coordinates of all 18 atoms:
Tb (0.8885, 0.7769, 0.8144)  9 Tm 3.24-3.55, 1 Sc 3.50
Tb (0.1144, 0.2287, 0.7354)  1 Sc 3.28, 6 Tm 3.42-3.59, 2 Er 3.58
Tb (0.1115, 0.2231, 0.3144)  9 Tm 3.24-3.55, 1 Sc 3.50
Tb (0.8856, 0.7713, 0.2354)  1 Sc 3.28, 6 Tm 3.42-3.59, 2 Er 3.58
Er (0.5907, 0.1814, 0.9565)  6 Tm 2.98-3.33
Er (0.4093, 0.8186, 0.4565)  6 Tm 2.98-3.33
Tm (0.3781, 0.7563, 0.0210)  4 Tb 3.46-3.51, 6 Tm 3.53-3.88, 1 Sc 3.58
Tm (0.7242, 0.4484, 0.8192)  1 Er 2.98, 1 Tb 3.24, 2 Tm 3.33
Tm (0.4815, 0.9630, 0.7396)  2 Er 3.09-3.23, 2 Tb 3.38
Tm (0.3004, 0.6007, 0.7049)  1 Er 3.33, 4 Tm 3.33-3.59, 2 Sc 3.36, 3 Tb 3.43-3.68
Tm (0.9824, 0.9649, 0.5187)  2 Er 3.16, 3 Tb 3.29-3.47, 1 Sc 3.52
Tm (0.6219, 0.2437, 0.5210)  4 Tb 3.46-3.51, 6 Tm 3.53-3.88, 1 Sc 3.58
Tm (0.2758, 0.5516, 0.3192)  1 Er 2.98, 1 Tb 3.24, 2 Tm 3.33
Tm (0.5185, 0.0370, 0.2396)  2 Er 3.09-3.23, 2 Tb 3.38
Tm (0.6996, 0.3993, 0.2049)  1 Er 3.33, 4 Tm 3.33-3.59, 2 Sc 3.36, 3 Tb 3.43-3.68
Tm (0.0176, 0.0351, 0.0187)  2 Er 3.16, 3 Tb 3.29-3.47, 1 Sc 3.52
Sc (0.8038, 0.6077, 0.5143)  2 Tb 3.28-3.50, 7 Tm 3.36-3.58, 2 Er 3.48
Sc (0.1962, 0.3923, 0.0143)  2 Tb 3.28-3.50, 7 Tm 3.36-3.58, 2 Er 3.48

Output
Energy of formation from the pure elements ... 0.165 eV/atom
Crystal system ... orthorhombic
Magnetization ... 0.00 Bohr magnetons per cell
Space-group type ... Cmc2_1

***

(2)
Here is a relaxed structure of Pr6SiRh2Br3 from Alexandria. Energies are from GGA-PBE.

Lattice parameters (Å, degrees): 7.3354 7.3354 8.0830 98.71 98.71 120.02
Closest atoms and distances in Å follow each position.
Fractional coordinates of all 12 atoms:
Pr (0.9337, 0.5897, 0.7981)  2 Rh 2.86-2.87, 1 Si 2.96
Pr (0.7226, 0.7226, 0.2015)  2 Rh 2.87, 1 Si 2.97
Pr (0.0663, 0.4103, 0.2019)  2 Rh 2.86-2.87, 1 Si 2.96
Pr (0.5897, 0.9337, 0.7981)  2 Rh 2.86-2.87, 1 Si 2.96
Pr (0.2774, 0.2774, 0.7985)  2 Rh 2.87, 1 Si 2.97
Pr (0.4103, 0.0663, 0.2019)  2 Rh 2.86-2.87, 1 Si 2.96
Si (0.0000, 0.0000, 0.0000)  6 Pr 2.96-2.97
Rh (0.3329, 0.6671, 0.0000)  6 Pr 2.86-2.87
Rh (0.6671, 0.3329, 0.0000)  6 Pr 2.86-2.87
Br (0.1618, 0.8382, 0.5000)  6 Pr 3.34-3.38
Br (0.8382, 0.1618, 0.5000)  6 Pr 3.34-3.38
Br (0.5000, 0.5000, 0.5000)  6 Pr 3.30-3.39

Output
Formation energy from raw total energies ... -1007 meV per atom
Crystal system ... monoclinic
Magnetization ... 0.00 Bohr magnetons per cell
Space-group type ... C2/m

***

(3)
Here is a relaxed structure of ZnCr2Hg from Alexandria. Energies are from GGA-PBE.

Lattice parameters (Å, degrees): 3.6716 3.6716 9.9019 79.32 79.32 90.00
Closest atoms and distances in Å follow each position.
Fractional coordinates of all 8 atoms:
Cr (0.5574, 0.1250, 0.2500)  2 Cr 2.27
Cr (0.1926, 0.6250, 0.2500)  2 Cr 2.27
Cr (0.3750, 0.4426, 0.7500)  2 Cr 2.27
Cr (0.8750, 0.8074, 0.7500)  2 Cr 2.27
Zn (0.5000, 0.5000, 0.0000)  4 Hg 2.60, 4 Cr 2.65
Zn (0.2500, 0.7500, 0.5000)  4 Hg 2.60, 4 Cr 2.65
Hg (0.0000, 0.0000, 0.0000)  4 Zn 2.60, 4 Cr 2.81
Hg (0.7500, 0.2500, 0.5000)  4 Zn 2.60, 4 Cr 2.81

Output
Energy of formation from the pure elements ... 0.854 eV/atom
E above lowest polymorph ... 604 meV per atom
Crystal system ... tetragonal
Magnetization ... 0.00 Bohr magnetons per cell
Space-group type ... I-42d

***

(4)
Here is a relaxed structure of BaLiCl2 from Alexandria. Energies are from GGA-PBE.

Lattice parameters (Å, degrees): 4.0168 4.0168 7.0612 90.00 90.00 90.05
Closest atoms and distances in Å follow each position.
Fractional coordinates of all 4 atoms:
Ba (0.5000, 0.5000, 0.7967)  5 Cl 3.11-3.19
Cl (0.0000, 0.0000, 0.0013)  1 Li 2.43
Cl (0.5000, 0.5000, 0.3562)  4 Li 2.84, 1 Ba 3.11
Li (0.0000, 0.0000, 0.3457)  1 Cl 2.43

Output
Formation energy from raw total energies ... -1632 meV per atom
E above lowest polymorph ... 94 meV per atom
Crystal system ... tetragonal
Magnetization ... 0.93 Bohr magnetons per cell
Space-group type ... P4mm

***

(5)
Here is a relaxed structure of Ti2V6Cr from Alexandria. Energies are from GGA-PBE.

Lattice parameters (Å, degrees): 2.5257 7.6627 7.8850 119.07 74.30 90.00
Closest atoms and distances in Å follow each position.
Fractional coordinates of all 9 atoms:
Ti (0.6703, 0.6660, 0.3320)  2 Ti 2.53, 6 V 2.72-2.81
Ti (0.3297, 0.3340, 0.6680)  2 Ti 2.53, 6 V 2.72-2.81
V (0.0256, 0.3284, 0.3276)  5 V 2.51-2.68, 1 Cr 2.60, 2 Ti 2.72-2.76
V (0.9744, 0.0009, 0.6724)  5 V 2.51-2.68, 1 Cr 2.60, 2 Ti 2.72-2.76
V (0.9744, 0.6716, 0.6724)  5 V 2.51-2.68, 1 Cr 2.60, 2 Ti 2.72-2.76
V (0.5000, 0.3205, 0.0000)  5 V 2.51-2.75, 2 Cr 2.76
V (0.0256, 0.9991, 0.3276)  5 V 2.51-2.68, 1 Cr 2.60, 2 Ti 2.72-2.76
V (0.5000, 0.6795, 0.0000)  5 V 2.51-2.75, 2 Cr 2.76
Cr (0.0000, 0.0000, 0.0000)  2 Cr 2.53, 8 V 2.60-2.76

Output
Energy of formation from the pure elements ... 0.143 eV/atom
Crystal system ... monoclinic
Magnetization ... 0.75 Bohr magnetons per cell
Space-group type ... C2/m

***

(6)
Here is a relaxed structure of Cr2HgRuW from Alexandria. Energies are from GGA-PBE.

Lattice parameters (Å, degrees): 4.3363 4.9792 4.3363 90.00 90.00 90.00
Closest atoms and distances in Å follow each position.
Fractional coordinates of all 5 atoms:
Ru (0.0000, 0.0000, 0.0000)  4 Cr 2.17
Hg (0.0000, 0.5000, 0.0000)  2 Ru 2.49
W (0.5000, 0.5000, 0.5000)  4 Hg 3.07, 8 Cr 3.30
Cr (0.0000, 0.0000, 0.5000)  2 Ru 2.17
Cr (0.5000, 0.0000, 0.0000)  2 Ru 2.17

Output
Energy of formation from the pure elements ... 1.956 eV/atom
Crystal system ... tetragonal
Magnetization ... 0.00 Bohr magnetons per cell
Space-group type ... P4/mmm

***

(7)
Here is a relaxed structure of NaPa2CoN4 from Alexandria. Energies are from GGA-PBE.

Lattice parameters (Å, degrees): 5.0727 5.0727 5.0727 104.16 112.19 112.19
Closest atoms and distances in Å follow each position.
Fractional coordinates of all 8 atoms:
Na (0.0000, 0.0000, 0.0000)  4 N 2.17
Pa (0.5000, 0.7500, 0.2500)  4 N 2.37
Pa (0.5000, 0.2500, 0.7500)  4 N 2.37
Co (0.0000, 0.5000, 0.5000)  4 N 1.87
N (0.0000, 0.2226, 0.6849)  1 Co 1.87
N (0.5377, 0.3151, 0.3151)  1 Co 1.87
N (0.4623, 0.7774, 0.7774)  1 Co 1.87
N (0.0000, 0.6849, 0.2226)  1 Co 1.87

Output
Formation energy from raw total energies ... -825 meV per atom
Crystal system ... tetragonal
Magnetization ... 0.14 Bohr magnetons per cell
Space-group type ... I-42m

***

(8)
Here is a relaxed structure of La3Sm2Y6Tm from Alexandria. Energies are from GGA-PBE.

Lattice parameters (Å, degrees): 6.2743 6.2743 11.9203 95.03 95.03 120.01
Closest atoms and distances in Å follow each position.
Fractional coordinates of all 12 atoms:
La (0.1670, 0.8330, 0.5000)  6 La 3.62-3.63, 6 Y 3.64-3.65
La (0.8330, 0.1670, 0.5000)  6 La 3.62-3.63, 6 Y 3.64-3.65
La (0.5000, 0.5000, 0.5000)  6 La 3.62, 6 Y 3.64
Sm (0.3336, 0.6664, 0.0000)  6 Y 3.56, 3 Sm 3.62-3.63, 3 Tm 3.62-3.63
Sm (0.6664, 0.3336, 0.0000)  6 Y 3.56, 3 Sm 3.62-3.63, 3 Tm 3.62-3.63
Y (0.9185, 0.5858, 0.7544)  1 Tm 3.56, 2 Sm 3.56, 6 Y 3.61-3.63, 3 La 3.64-3.65
Y (0.7490, 0.7490, 0.2459)  1 Tm 3.56, 2 Sm 3.56, 6 Y 3.61-3.63, 3 La 3.64
Y (0.0815, 0.4142, 0.2456)  1 Tm 3.56, 2 Sm 3.56, 6 Y 3.61-3.63, 3 La 3.64-3.65
Y (0.5858, 0.9185, 0.7544)  1 Tm 3.56, 2 Sm 3.56, 6 Y 3.61-3.63, 3 La 3.64-3.65
Y (0.2510, 0.2510, 0.7541)  1 Tm 3.56, 2 Sm 3.56, 6 Y 3.61-3.63, 3 La 3.64
Y (0.4142, 0.0815, 0.2456)  1 Tm 3.56, 2 Sm 3.56, 6 Y 3.61-3.63, 3 La 3.64-3.65
Tm (0.0000, 0.0000, 0.0000)  6 Y 3.56, 6 Sm 3.62-3.63

Output
Energy of formation from the pure elements ... 0.017 eV/atom
Crystal system ... monoclinic
Magnetization ... 0.00 Bohr magnetons per cell
Space-group type ... C2/m

***

(9)
Here is a relaxed structure of SiMoRu from Alexandria. Energies are from GGA-PBE.

Lattice parameters (Å, degrees): 2.9839 6.6350 12.8012 90.00 90.00 90.00
Closest atoms and distances in Å follow each position.
Fractional coordinates of all 18 atoms:
Si (0.5000, 0.0786, 0.0904)  1 Ru 2.35, 4 Mo 2.50-2.54, 1 Si 2.54
Si (0.5000, 0.9214, 0.9096)  1 Ru 2.35, 4 Mo 2.50-2.54, 1 Si 2.54
Si (0.5000, 0.0786, 0.4096)  1 Ru 2.35, 4 Mo 2.50-2.54, 1 Si 2.54
Si (0.5000, 0.9214, 0.5904)  1 Ru 2.35, 4 Mo 2.50-2.54, 1 Si 2.54
Si (0.0000, 0.4890, 0.2500)  6 Ru 2.37-2.44, 1 Mo 2.48
Si (0.0000, 0.5110, 0.7500)  6 Ru 2.37-2.44, 1 Mo 2.48
Mo (0.0000, 0.2204, 0.9356)  4 Si 2.50-2.65, 2 Ru 2.79
Mo (0.0000, 0.7796, 0.0644)  4 Si 2.50-2.65, 2 Ru 2.79
Mo (0.0000, 0.2204, 0.5644)  4 Si 2.50-2.65, 2 Ru 2.79
Mo (0.0000, 0.7796, 0.4356)  4 Si 2.50-2.65, 2 Ru 2.79
Mo (0.0000, 0.1148, 0.2500)  5 Si 2.48-2.54, 2 Ru 2.75
Mo (0.0000, 0.8852, 0.7500)  5 Si 2.48-2.54, 2 Ru 2.75
Ru (0.5000, 0.4318, 0.1018)  3 Si 2.35-2.44
Ru (0.5000, 0.5682, 0.8982)  3 Si 2.35-2.44
Ru (0.5000, 0.4318, 0.3982)  3 Si 2.35-2.44
Ru (0.5000, 0.5682, 0.6018)  3 Si 2.35-2.44
Ru (0.5000, 0.7668, 0.2500)  2 Si 2.37
Ru (0.5000, 0.2332, 0.7500)  2 Si 2.37

Output
Formation energy from raw total energies ... -319 meV per atom
Crystal system ... orthorhombic
Magnetization ... 0.00 Bohr magnetons per cell
Space-group type ... Pmma

***

(10)
Here is a relaxed structure of LiSi2Au from Alexandria. Energies are from GGA-PBE.

Lattice parameters (Å, degrees): 3.4460 3.4460 5.9630 90.00 90.00 90.00
Closest atoms and distances in Å follow each position.
Fractional coordinates of all 4 atoms:
Au (0.5000, 0.5000, 0.2500)  8 Si 2.73, 2 Li 2.98
Li (0.5000, 0.5000, 0.7500)  2 Au 2.98, 8 Si 3.00
Si (0.0000, 0.0000, 0.0431)  1 Si 2.47, 4 Au 2.73
Si (0.0000, 0.0000, 0.4569)  1 Si 2.47, 4 Au 2.73

Output
Formation energy from raw total energies ... 158 meV per atom
E above lowest polymorph ... 260 meV per atom
Crystal system ... tetragonal
Magnetization ... 0.00 Bohr magnetons per cell
Space-group type ... P4/mmm

***

(11)
Here is a relaxed structure of ThTi2Nb6 from Alexandria. Energies are from GGA-PBE.

Lattice parameters (Å, degrees): 2.9606 8.3374 8.3859 120.62 83.15 97.12
Closest atoms and distances in Å follow each position.
Fractional coordinates of all 9 atoms:
Th (0.0000, 0.0000, 0.0000)  2 Th 2.96, 8 Nb 2.96-3.29
Ti (0.0122, 0.3321, 0.6676)  9 Nb 2.86-3.20, 2 Ti 2.96
Ti (0.9878, 0.6679, 0.3324)  9 Nb 2.86-3.20, 2 Ti 2.96
Nb (0.7078, 0.9907, 0.3459)  5 Nb 2.66-2.97, 2 Ti 2.86-2.88, 1 Th 2.96
Nb (0.2922, 0.0093, 0.6541)  5 Nb 2.66-2.97, 2 Ti 2.86-2.88, 1 Th 2.96
Nb (0.3824, 0.6587, 0.6431)  2 Nb 2.62-2.92, 1 Ti 2.90
Nb (0.5728, 0.3481, 0.0044)  4 Nb 2.66-2.97, 2 Ti 2.91-2.95
Nb (0.4272, 0.6519, 0.9956)  4 Nb 2.66-2.97, 2 Ti 2.91-2.95
Nb (0.6175, 0.3413, 0.3569)  2 Nb 2.62-2.92, 1 Ti 2.90

Output
Energy of formation from the pure elements ... 0.183 eV/atom
Crystal system ... triclinic
Magnetization ... 0.00 Bohr magnetons per cell
Space-group type ... P-1

***

(12)
Here is a relaxed structure of SbAs2Se from Alexandria. Energies are from GGA-PBE.

Lattice parameters (Å, degrees): 4.9683 4.9815 4.9662 71.64 70.01 110.11
Closest atoms and distances in Å follow each position.
Fractional coordinates of all 4 atoms:
Sb (0.5000, 0.5000, 0.0000)  4 As 2.85, 2 Se 2.91
As (0.0000, 0.0000, 0.0000)  2 Sb 2.85, 2 Se 2.85, 2 As 2.91
As (0.0000, 0.5000, 0.5000)  2 Se 2.85, 2 Sb 2.85, 2 As 2.91
Se (0.5000, 0.0000, 0.5000)  4 As 2.85, 2 Sb 2.91

Output
Formation energy from raw total energies ... 94 meV per atom
E above lowest polymorph ... 79 meV per atom
Crystal system ... monoclinic
Magnetization ... 0.00 Bohr magnetons per cell
Space-group type ... C2/m

***

| no. | D(E_F) (states/eV/cell) | final energy (eV/atom) |
| --- | --- | --- |
| 1 | 27.49 | -4.559 |
| 2 | 9.16 | -5.492 |
| 3 | 10.72 | -4.352 |
| 4 | 1.42 | -3.515 |
| 5 | 13.13 | -8.760 |
| 6 | 7.95 | -6.400 |
| 7 | 5.83 | -8.415 |
| 8 | 16.23 | -5.606 |
| 9 | 11.41 | -8.829 |
| 10 | 0.87 | -3.851 |
| 11 | 12.11 | -9.109 |
| 12 | 1.81 | -4.132 |